Entry 1:
{
  "formula": "Ba2Tl4Ag3Hg",
  "functional": "GGA-PBE",
  "state": "optimized geometry",
  "cell": [[-3.506, 0.641, 3.559], [-3.586, 0.021, -3.537], [-1.086, -11.668, 1.032]],
  "species": ["Ba", "Ba", "Tl", "Tl", "Tl", "Tl", "Ag", "Ag", "Ag", "Hg"],
  "frac_coords": [[0.500, 0.000, 0.254], [0.000, 0.500, 0.746], [0.500, 0.500, 0.000], [0.000, 0.000, 0.000], [0.500, 0.000, 0.632], [0.000, 0.500, 0.368], [0.000, 0.000, 0.500], [0.500, 0.000, 0.872], [0.000, 0.500, 0.128], [0.500, 0.500, 0.500]],
  "space_group": "P-4m2",
  "formation_energy_ev_per_fu": -1.96
}



Entry 2:
{
  "formula": "Rb2CdIn6Ga",
  "functional": "GGA-PBE",
  "state": "optimized geometry",
  "cell": [[-0.240, -4.474, 5.925], [-1.438, -7.236, -0.865], [13.379, -6.505, 0.287]],
  "species": ["Rb", "Rb", "Rb", "Rb", "Cd", "Cd", "In", "In", "In", "In", "In", "In", "In", "In", "In", "In", "In", "In", "Ga", "Ga"],
  "frac_coords": [[0.858, 0.858, 0.427], [0.142, 0.142, 0.573], [0.688, 0.688, 0.937], [0.312, 0.312, 0.063], [0.000, 0.000, 0.000], [0.500, 0.500, 0.500], [0.922, 0.367, 0.344], [0.367, 0.922, 0.344], [0.367, 0.367, 0.344], [0.078, 0.633, 0.656], [0.633, 0.078, 0.656], [0.633, 0.633, 0.656], [0.791, 0.192, 0.824], [0.192, 0.791, 0.824], [0.192, 0.192, 0.824], [0.209, 0.808, 0.176], [0.808, 0.209, 0.176], [0.808, 0.808, 0.176], [0.591, 0.591, 0.226], [0.409, 0.409, 0.774]],
  "space_group": "R-3m",
  "formation_energy_ev_per_fu": 0.00
}



Entry 3:
{
  "formula": "BaPmSn",
  "functional": "GGA-PBE",
  "state": "optimized geometry",
  "cell": [[-2.102, -4.343, -0.582], [4.812, -2.243, -0.643], [-2.141, 0.382, 4.885]],
  "species": ["Ba", "Sn", "Pm"],
  "frac_coords": [[0.673, 0.333, 0.667], [0.143, 0.000, 0.000], [0.184, 0.667, 0.333]],
  "space_group": "P3m1",
  "formation_energy_ev_per_fu": -1.11
}



Entry 4:
{
  "formula": "Co5Pd7",
  "functional": "GGA-PBE",
  "state": "optimized geometry",
  "cell": [[-2.034, -2.084, 3.285], [4.121, 0.582, -0.013], [-3.790, 10.093, 4.055]],
  "species": ["Co", "Co", "Co", "Co", "Co", "Pd", "Pd", "Pd", "Pd", "Pd", "Pd", "Pd"],
  "frac_coords": [[0.129, 0.258, 0.444], [0.871, 0.742, 0.556], [0.369, 0.737, 0.161], [0.631, 0.263, 0.839], [0.000, 0.000, 0.000], [0.255, 0.511, 0.668], [0.745, 0.489, 0.332], [0.052, 0.103, 0.223], [0.948, 0.897, 0.777], [0.683, 0.365, 0.075], [0.500, 0.000, 0.500], [0.317, 0.635, 0.925]],
  "space_group": "C2/m",
  "formation_energy_ev_per_fu": 2.74
}



Entry 5:
{
  "formula": "ZrAl2H",
  "functional": "GGA-PBE",
  "state": "optimized geometry",
  "cell": [[-4.019, -1.693, 3.306], [1.466, -5.199, -0.881], [1.135, -3.278, 4.231]],
  "species": ["H", "H", "Al", "Al", "Al", "Al", "Zr", "Zr"],
  "frac_coords": [[0.500, 0.500, 0.000], [0.250, 0.750, 0.500], [0.377, 0.125, 0.250], [0.373, 0.625, 0.250], [0.375, 0.623, 0.750], [0.875, 0.627, 0.750], [0.000, 0.000, 0.000], [0.750, 0.250, 0.500]],
  "space_group": "I-42d"
}



Entry 6:
{
  "formula": "Tb2Pr2DyY",
  "functional": "GGA-PBE",
  "state": "optimized geometry",
  "cell": [[-0.993, 5.041, -2.454], [-4.202, 1.807, 5.412], [7.766, 3.840, 4.747]],
  "species": ["Tb", "Tb", "Tb", "Tb", "Pr", "Pr", "Pr", "Pr", "Dy", "Dy", "Y", "Y"],
  "frac_coords": [[0.000, 0.257, 0.836], [0.500, 0.258, 0.333], [0.000, 0.757, 0.164], [0.500, 0.758, 0.667], [0.500, 0.007, 0.000], [0.000, 0.257, 0.176], [0.500, 0.507, 0.000], [0.000, 0.757, 0.824], [0.500, 0.258, 0.660], [0.500, 0.758, 0.340], [0.000, 0.008, 0.500], [0.000, 0.508, 0.500]],
  "space_group": "Pmma",
  "formation_energy_ev_per_fu": 0.36
}



Entry 7:
{
  "formula": "HfIrPtSe2",
  "functional": "GGA-PBE",
  "state": "optimized geometry",
  "cell": [[4.792, 0.000, 0.000], [0.000, 5.072, 0.000], [0.000, 0.000, 4.792]],
  "species": ["Ir", "Hf", "Se", "Se", "Pt"],
  "frac_coords": [[0.500, 0.500, 0.500], [0.000, 0.500, 0.000], [0.000, 0.000, 0.500], [0.500, 0.000, 0.000], [0.000, 0.000, 0.000]],
  "formation_energy_uncorrected_ev_per_fu": 4.80,
  "space_group": "P4/mmm"
}



Entry 8:
{
  "formula": "Tl2AgPt",
  "functional": "GGA-PBE",
  "state": "optimized geometry",
  "cell": [[9.703, -0.127, -0.075], [9.187, 3.125, -0.075], [9.187, 1.458, 2.765]],
  "species": ["Tl", "Tl", "Ag", "Pt"],
  "frac_coords": [[0.011, 0.011, 0.011], [0.245, 0.245, 0.245], [0.492, 0.492, 0.492], [0.753, 0.753, 0.753]],
  "space_group": "R3m",
  "formation_energy_ev_per_fu": 0.74
}



Number 1: VASP energy -2.41 eV/atom. Number 2: VASP energy -2.23 eV/atom. Number 3: VASP energy -3.93 eV/atom. Number 4: VASP energy -5.76 eV/atom. Number 5: VASP energy -4.92 eV/atom. Number 6: VASP energy -4.92 eV/atom. Number 7: VASP energy -5.41 eV/atom. Number 8: VASP energy -3.22 eV/atom.